# Y4Ga21Ni10

A geometry-optimized Y4Ga21Ni10 structure (PBE-GGA, OQMD via LeMat-Bulk).

Lattice parameters (Å, degrees): 10.655 10.655 15.500 124.46 124.46 22.12
Element x y z (fractional)
Ga 0.626 0.626 0.194
Ga 0.800 0.800 0.998
Ga 0.614 0.614 0.704
Ga 0.460 0.460 0.631
Ga 0.601 0.601 0.997
Ga 0.117 0.117 0.554
Ga 0.006 0.006 0.091
Ga 0.702 0.702 0.503
Ga 0.994 0.994 0.909
Ga 0.386 0.386 0.296
Ga 0.248 0.248 0.294
Ga 0.374 0.374 0.806
Ga 0.399 0.399 0.003
Ga 0.500 0.500 0.500
Ga 0.298 0.298 0.497
Ga 0.935 0.935 0.205
Ga 0.752 0.752 0.706
Ga 0.540 0.540 0.369
Ga 0.883 0.883 0.446
Ga 0.065 0.065 0.795
Ga 0.200 0.200 0.002
Ni 0.653 0.653 0.889
Ni 0.025 0.025 0.607
Ni 0.750 0.750 0.386
Ni 0.868 0.868 0.897
Ni 0.498 0.498 0.814
Ni 0.975 0.975 0.393
Ni 0.502 0.502 0.186
Ni 0.132 0.132 0.103
Ni 0.250 0.250 0.614
Ni 0.347 0.347 0.111
Y 0.120 0.120 0.333
Y 0.880 0.880 0.667
Y 0.230 0.230 0.823
Y 0.770 0.770 0.177

## Properties
Calculated total energy (eV per atom): -4.666
SG: No. 12